{
  "formula": "Na2Sb2PdPt",
  "functional": "PBE",
  "state": "optimized geometry",
  "cell": [[-3.243, 6.816, 3.283], [3.243, -6.816, 3.283], [3.243, 6.816, -3.283]],
  "species": ["Na", "Na", "Na", "Na", "Sb", "Sb", "Sb", "Sb", "Pd", "Pd", "Pt", "Pt"],
  "frac_coords": [[0.159, 0.248, 0.407], [0.341, 0.748, 0.089], [0.659, 0.252, 0.911], [0.841, 0.752, 0.593], [0.103, 0.746, 0.849], [0.397, 0.246, 0.643], [0.603, 0.754, 0.357], [0.897, 0.254, 0.151], [0.250, 0.250, 0.000], [0.750, 0.750, 0.000], [0.250, 0.750, 0.500], [0.750, 0.250, 0.500]],
  "e_form_raw_ev_per_atom": -0.438,
  "spacegroup": "Ibam"
}



{
  "formula": "Na2SbPdPt",
  "functional": "PBE",
  "state": "optimized geometry",
  "cell": [[5.714, 0.000, 0.000], [0.000, 5.714, 0.000], [0.000, 0.000, 4.886]],
  "species": ["Na", "Na", "Sb", "Pd", "Pt"],
  "frac_coords": [[0.000, 0.500, 0.000], [0.500, 0.000, 0.000], [0.000, 0.000, 0.000], [0.500, 0.500, 0.500], [0.000, 0.000, 0.500]],
  "e_form_raw_ev_per_atom": 0.442,
  "spacegroup": "P4/mmm"
}



{
  "formula": "Na2Sb4Pd3Pt",
  "functional": "PBE",
  "state": "optimized geometry",
  "cell": [[4.642, 0.000, 0.000], [0.000, 4.642, 0.000], [0.000, 0.000, 10.805]],
  "species": ["Na", "Na", "Sb", "Sb", "Sb", "Sb", "Pd", "Pd", "Pd", "Pt"],
  "frac_coords": [[0.000, 0.500, 0.235], [0.500, 0.000, 0.765], [0.000, 0.000, 0.500], [0.000, 0.500, 0.875], [0.500, 0.000, 0.125], [0.500, 0.500, 0.500], [0.000, 0.000, 0.000], [0.000, 0.500, 0.631], [0.500, 0.000, 0.369], [0.500, 0.500, 0.000]],
  "e_form_raw_ev_per_atom": -0.426,
  "spacegroup": "P-4m2"
}



{
  "formula": "NaSbPdPt",
  "functional": "PBE",
  "state": "optimized geometry",
  "cell": [[6.585, 0.000, 0.000], [0.000, 6.585, 0.000], [0.000, 0.000, 6.585]],
  "species": ["Na", "Na", "Na", "Na", "Sb", "Sb", "Sb", "Sb", "Pd", "Pd", "Pd", "Pd", "Pt", "Pt", "Pt", "Pt"],
  "frac_coords": [[0.000, 0.000, 0.000], [0.000, 0.500, 0.500], [0.500, 0.000, 0.500], [0.500, 0.500, 0.000], [0.000, 0.000, 0.500], [0.000, 0.500, 0.000], [0.500, 0.000, 0.000], [0.500, 0.500, 0.500], [0.250, 0.250, 0.250], [0.250, 0.750, 0.750], [0.750, 0.250, 0.750], [0.750, 0.750, 0.250], [0.250, 0.250, 0.750], [0.250, 0.750, 0.250], [0.750, 0.250, 0.250], [0.750, 0.750, 0.750]],
  "e_form_raw_ev_per_atom": -0.314,
  "spacegroup": "F-43m"
}



{
  "formula": "NaScPdPt",
  "functional": "PBE",
  "state": "optimized geometry",
  "cell": [[6.560, 0.000, 0.000], [0.000, 6.560, 0.000], [0.000, 0.000, 6.560]],
  "species": ["Na", "Na", "Na", "Na", "Sc", "Sc", "Sc", "Sc", "Pd", "Pd", "Pd", "Pd", "Pt", "Pt", "Pt", "Pt"],
  "frac_coords": [[0.000, 0.000, 0.000], [0.000, 0.500, 0.500], [0.500, 0.000, 0.500], [0.500, 0.500, 0.000], [0.000, 0.000, 0.500], [0.000, 0.500, 0.000], [0.500, 0.000, 0.000], [0.500, 0.500, 0.500], [0.250, 0.250, 0.250], [0.250, 0.750, 0.750], [0.750, 0.250, 0.750], [0.750, 0.750, 0.250], [0.250, 0.250, 0.750], [0.250, 0.750, 0.250], [0.750, 0.250, 0.250], [0.750, 0.750, 0.750]],
  "ef_ev_per_atom": -0.62,
  "spacegroup": "F-43m"
}



{
  "formula": "Na2Si4PdPt3",
  "functional": "PBE",
  "state": "optimized geometry",
  "cell": [[4.148, 0.000, 0.000], [0.000, 4.148, 0.000], [0.000, 0.000, 10.082]],
  "species": ["Na", "Na", "Si", "Si", "Si", "Si", "Pd", "Pt", "Pt", "Pt"],
  "frac_coords": [[0.000, 0.500, 0.249], [0.500, 0.000, 0.751], [0.000, 0.000, 0.500], [0.000, 0.500, 0.870], [0.500, 0.000, 0.130], [0.500, 0.500, 0.500], [0.500, 0.500, 0.000], [0.000, 0.000, 0.000], [0.000, 0.500, 0.629], [0.500, 0.000, 0.371]],
  "e_form_raw_ev_per_atom": -0.600,
  "spacegroup": "P-4m2"
}



{
  "formula": "NaSi2PdPt",
  "functional": "PBE",
  "state": "optimized geometry",
  "cell": [[4.211, 0.000, 0.000], [0.000, 4.211, 0.000], [0.000, 0.000, 9.762]],
  "species": ["Na", "Na", "Si", "Si", "Si", "Si", "Pd", "Pd", "Pt", "Pt"],
  "frac_coords": [[0.000, 0.000, 0.000], [0.500, 0.500, 0.500], [0.000, 0.000, 0.378], [0.000, 0.000, 0.622], [0.500, 0.500, 0.122], [0.500, 0.500, 0.878], [0.000, 0.500, 0.250], [0.500, 0.000, 0.750], [0.000, 0.500, 0.750], [0.500, 0.000, 0.250]],
  "e_form_raw_ev_per_atom": -0.555,
  "spacegroup": "I-4m2"
}



{
  "formula": "Na2Si4Pd3Pt",
  "functional": "PBE",
  "state": "optimized geometry",
  "cell": [[4.081, 0.000, 0.000], [0.000, 4.081, 0.000], [0.000, 0.000, 10.422]],
  "species": ["Na", "Na", "Si", "Si", "Si", "Si", "Pd", "Pd", "Pd", "Pt"],
  "frac_coords": [[0.000, 0.500, 0.250], [0.500, 0.000, 0.750], [0.000, 0.000, 0.000], [0.000, 0.500, 0.630], [0.500, 0.000, 0.370], [0.500, 0.500, 0.000], [0.000, 0.500, 0.866], [0.500, 0.000, 0.134], [0.500, 0.500, 0.500], [0.000, 0.000, 0.500]],
  "e_form_raw_ev_per_atom": -0.460,
  "spacegroup": "P-4m2"
}



Computed final energy, in the same sequence as the records: -4.124, -3.157, -4.501, -4.483, -5.336, -5.364, -5.234, -5.055 eV/atom.
Computed density of states at the Fermi level, in the same sequence as the records: 3.0, 2.6, 5.2, 3.3, 0.2, 5.0, 2.6, 4.0 states/eV/f.u..
Computed size of the total moment, in the same sequence as the records: 0.00, 0.00, 0.00, 0.00, 0.00, 0.00, 0.00, 0.00 μB per cell.